VASP calculation (PBE) on a relaxed structure of Sm3Ir2Au.

Density of states at the Fermi level = 3.489 states/eV per cell
VASP energy = -6.565 eV/atom
Total moment = 0.0 μB/f.u.
Space-group type = No. 65
Relative energy among the computed polymorphs = 0.004 eV per atom
ΔH_f (0 K) = -0.7054 eV per atom
Crystal system = orthorhombic

```
Sm3Ir2Au
1.0
2.525 -7.460 0.000
2.525 7.460 0.000
0.000 0.000 3.590
Sm Ir Au
3 2 1
Cartesian
0.000 0.000 0.000 Sm
2.525 2.594 0.000 Sm
2.525 -2.594 0.000 Sm
2.525 4.989 1.795 Ir
2.525 -4.989 1.795 Ir
2.525 0.000 1.795 Au
```